VASP calculation (GGA-PBE) on a geometry-optimized UZnB12 structure.

Cell and atoms, written as CIF:
```
data_UZnB12
_chemical_formula_sum 'U1 Zn1 B12'
_symmetry_space_group_name_H-M 'P 1'
_symmetry_Int_Tables_number 1
_cell_length_a 4.101
_cell_length_b 4.101
_cell_length_c 8.331
_cell_angle_alpha 90.00
_cell_angle_beta 90.00
_cell_angle_gamma 90.00
loop_
_symmetry_equiv_pos_as_xyz
'x,y,z'
loop_
_atom_site_label
_atom_site_fract_x
_atom_site_fract_y
_atom_site_fract_z
U1 0.000 0.000 0.000
Zn1 0.000 0.000 0.500
B1 0.200 0.500 0.245
B2 0.200 0.500 0.755
B3 0.500 0.200 0.245
B4 0.500 0.200 0.755
B5 0.500 0.500 0.097
B6 0.500 0.500 0.398
B7 0.500 0.500 0.602
B8 0.500 0.500 0.903
B9 0.500 0.800 0.245
B10 0.500 0.800 0.755
B11 0.800 0.500 0.245
B12 0.800 0.500 0.755
```

DOS(E_F), states/eV/atom: 0.576
Calculated formation energy, kJ/mol of formula units: 44
Space-group type: P4/mmm